No. 1
TiGe3N at its PBEsol-relaxed geometry. Source: Alexandria via LeMat-Bulk, functional meta-GGA SCAN.

Unit cell a=4.8365 b=4.8365 c=4.8365 alpha=90.00 beta=90.00 gamma=90.00
Positions (direct):
Ti 0.0000 0.0000 0.0000
Ge 0.0000 0.5000 0.0000
Ge 0.5000 0.0000 0.0000
Ge 0.0000 0.0000 0.5000
N 0.5000 0.5000 0.5000

Values from the calculation:
Space-group type: No. 221
DOS(E_F): 0.3455 states/eV/atom
Formation energy without anion corrections: 1.249 eV per atom

No. 2
FeTcW2 at its PBEsol-relaxed geometry. Source: Alexandria via LeMat-Bulk, functional meta-GGA SCAN.

Unit cell a=2.7422 b=2.7422 c=8.8572 alpha=81.09 beta=81.09 gamma=60.00
Positions (direct):
W 0.2465 0.2465 0.2606
W 0.7535 0.7535 0.7394
Fe 0.5000 0.5000 0.5000
Tc 0.0000 0.0000 0.0000

Values from the calculation:
Space-group type: No. 166
DOS(E_F): 1.0130 states/eV/atom
Energy above the most stable polymorph in this dataset: 0.276 eV per atom

No. 3
Mg2Bi2As at its PBEsol-relaxed geometry. Source: Alexandria via LeMat-Bulk, functional meta-GGA SCAN.

Unit cell a=4.0015 b=8.0610 c=8.0610 alpha=90.00 beta=90.00 gamma=90.00
Positions (direct):
As 0.0000 0.5000 0.5000
As 0.0000 0.0000 0.0000
Mg 0.5000 0.1392 0.6392
Mg 0.5000 0.8608 0.3608
Mg 0.5000 0.3608 0.1392
Mg 0.5000 0.6392 0.8608
Bi 0.0000 0.8339 0.6661
Bi 0.0000 0.1661 0.3339
Bi 0.0000 0.3339 0.8339
Bi 0.0000 0.6661 0.1661

Values from the calculation:
Space-group type: No. 127
DOS(E_F): 0.4090 states/eV/atom
Total energy: -373.9 eV per cell